[1]
This record from Alexandria via LeMat-Bulk describes an optimized crystal structure of K4H. The functional is PBE.

The structure in CIF format:
```
data_K4H
_chemical_formula_sum 'K16 H4'
_cell_length_a 14.134
_cell_length_b 6.804
_cell_length_c 13.388
_cell_angle_alpha 90.00
_cell_angle_beta 118.25
_cell_angle_gamma 90.00
_space_group_name_H-M_alt 'C 1 2/c 1'
_space_group_IT_number 15
loop_
_space_group_symop_operation_xyz
'x,y,z'
'-x,-y,-z'
'-x,y,-z+1/2'
'x,-y,z+1/2'
'x+1/2,y+1/2,z'
'-x+1/2,-y+1/2,-z'
'-x+1/2,y+1/2,-z+1/2'
'x+1/2,-y+1/2,z+1/2'
loop_
_atom_site_label
_atom_site_type_symbol
_atom_site_fract_x
_atom_site_fract_y
_atom_site_fract_z
K1 K 0.118 0.009 0.423
K2 K 0.118 0.452 0.193
H1 H 0.000 0.232 0.250
```

Properties
polymorph energy (0 for the lowest one): 0 meV per atom
total magnetization: 0.00 μB per formula unit

***

[2]
This record from Alexandria via LeMat-Bulk describes an optimized crystal structure of CdWCl2. The functional is PBE.

The structure in CIF format:
```
data_CdWCl2
_chemical_formula_sum 'Cd2 W2 Cl4'
_cell_length_a 13.815
_cell_length_b 2.939
_cell_length_c 5.320
_cell_angle_alpha 90.00
_cell_angle_beta 112.44
_cell_angle_gamma 90.00
_space_group_name_H-M_alt 'C 1 2/m 1'
_space_group_IT_number 12
loop_
_space_group_symop_operation_xyz
'x,y,z'
'-x,-y,-z'
'-x,y,-z'
'x,-y,z'
'x+1/2,y+1/2,z'
'-x+1/2,-y+1/2,-z'
'-x+1/2,y+1/2,-z'
'x+1/2,-y+1/2,z'
loop_
_atom_site_label
_atom_site_type_symbol
_atom_site_fract_x
_atom_site_fract_y
_atom_site_fract_z
Cd1 Cd 0.000 0.000 0.000
W1 W 0.000 0.500 0.500
Cl1 Cl 0.152 0.000 0.651
```

Properties
polymorph energy (0 for the lowest one): 26 meV per atom
formation energy without anion corrections: -0.0468 eV per atom
total magnetization: 0.00 μB per formula unit

***

[3]
This record from Alexandria via LeMat-Bulk describes an optimized crystal structure of UP3Pd5. The functional is PBE.

The structure in CIF format:
```
data_UP3Pd5
_chemical_formula_sum 'U4 P12 Pd20'
_cell_length_a 3.928
_cell_length_b 13.075
_cell_length_c 11.741
_cell_angle_alpha 90.00
_cell_angle_beta 90.00
_cell_angle_gamma 90.00
_space_group_name_H-M_alt 'C m c m'
_space_group_IT_number 63
_space_group_name_Hall '-C 2c 2'
loop_
_atom_site_label
_atom_site_type_symbol
_atom_site_fract_x
_atom_site_fract_y
_atom_site_fract_z
U1 U 0.000 0.110 0.250
P1 P 0.000 0.136 0.750
P2 P 0.000 0.409 0.582
Pd1 Pd 0.000 0.000 0.000
Pd2 Pd 0.000 0.234 0.582
Pd3 Pd 0.000 0.408 0.134
```

Properties
ΔE_f: -493 meV/atom
total magnetization: 2.30 μB per formula unit

***

[4]
This record from Alexandria via LeMat-Bulk describes an optimized crystal structure of Ba2ScAs. The functional is PBE.

The structure in CIF format:
```
data_Ba2ScAs
_chemical_formula_sum 'Ba4 Sc2 As2'
_cell_length_a 4.903
_cell_length_b 4.903
_cell_length_c 11.092
_cell_angle_alpha 90.00
_cell_angle_beta 90.00
_cell_angle_gamma 90.00
_space_group_name_H-M_alt 'I -4 m 2'
_space_group_IT_number 119
_space_group_name_Hall 'I -4 -2'
loop_
_atom_site_label
_atom_site_type_symbol
_atom_site_fract_x
_atom_site_fract_y
_atom_site_fract_z
Ba1 Ba 0.000 0.000 0.000
Ba2 Ba 0.000 0.500 0.250
Sc1 Sc 0.000 0.500 0.750
As1 As 0.000 0.000 0.500
```

Properties
ΔE_f: -108 meV/atom
total magnetization: 0.03 μB per formula unit

***

[5]
This record from Alexandria via LeMat-Bulk describes an optimized crystal structure of SmMg4Zn. The functional is PBE.

The structure in CIF format:
```
data_SmMg4Zn
_chemical_formula_sum 'Sm2 Mg8 Zn2'
_cell_length_a 8.375
_cell_length_b 4.333
_cell_length_c 7.751
_cell_angle_alpha 90.00
_cell_angle_beta 90.00
_cell_angle_gamma 90.00
_space_group_name_H-M_alt 'P m m a'
_space_group_IT_number 51
loop_
_space_group_symop_operation_xyz
'x,y,z'
'-x,-y,-z'
'-x+1/2,-y,z'
'x+1/2,y,-z'
'x+1/2,-y,-z'
'-x+1/2,y,z'
'-x,y,-z'
'x,-y,z'
loop_
_atom_site_label
_atom_site_type_symbol
_atom_site_fract_x
_atom_site_fract_y
_atom_site_fract_z
Sm1 Sm 0.250 0.000 0.116
Mg1 Mg 0.000 0.000 0.500
Mg2 Mg 0.058 0.500 0.811
Mg3 Mg 0.250 0.500 0.446
Zn1 Zn 0.250 0.000 0.721
```

Properties
polymorph energy (0 for the lowest one): 0 meV per atom
ΔE_f: -119 meV/atom
total magnetization: 0.00 μB per formula unit

***

[6]
This record from Alexandria via LeMat-Bulk describes an optimized crystal structure of Tb3YMg. The functional is PBE.

The structure in CIF format:
```
data_Tb3YMg
_chemical_formula_sum 'Tb12 Y4 Mg4'
_cell_length_a 12.935
_cell_length_b 3.682
_cell_length_c 12.814
_cell_angle_alpha 90.00
_cell_angle_beta 93.80
_cell_angle_gamma 90.00
_space_group_name_H-M_alt 'C 1 2/m 1'
_space_group_IT_number 12
loop_
_space_group_symop_operation_xyz
'x,y,z'
'-x,-y,-z'
'-x,y,-z'
'x,-y,z'
'x+1/2,y+1/2,z'
'-x+1/2,-y+1/2,-z'
'-x+1/2,y+1/2,-z'
'x+1/2,-y+1/2,z'
loop_
_atom_site_label
_atom_site_type_symbol
_atom_site_fract_x
_atom_site_fract_y
_atom_site_fract_z
Tb1 Tb 0.036 0.000 0.188
Tb2 Tb 0.135 0.500 0.977
Tb3 Tb 0.149 0.000 0.442
Y1 Y 0.233 0.000 0.758
Mg1 Mg 0.059 0.500 0.626
```

Properties
ΔE_f: -22 meV/atom
total magnetization: 0.00 μB per formula unit